Run a
This record from Alexandria describes BeCdPt after structural relaxation. The functional is GGA-PBE.

The structure in CIF format:
```
data_BeCdPt
_symmetry_space_group_name_H-M 'P 1'
_symmetry_Int_Tables_number 1
_symmetry_space_group_name_Hall 'P 1'
_cell_length_a 5.321
_cell_length_b 5.321
_cell_length_c 5.321
_cell_angle_alpha 146.64
_cell_angle_beta 146.63
_cell_angle_gamma 47.91
loop_
_atom_site_label
_atom_site_fract_x
_atom_site_fract_y
_atom_site_fract_z
Cd1 0.665 0.665 0.000
Be1 0.962 0.962 0.000
Pt1 0.373 0.373 0.000
```

Output
**Space-group type**: I4mm (107)

Run b
This record from Alexandria describes BeCdPt after structural relaxation. The functional is GGA-PBE.

The structure in CIF format:
```
data_BeCdPt
_symmetry_space_group_name_H-M 'P 1'
_symmetry_Int_Tables_number 1
_symmetry_space_group_name_Hall 'P 1'
_cell_length_a 3.792
_cell_length_b 3.792
_cell_length_c 6.554
_cell_angle_alpha 90.00
_cell_angle_beta 90.00
_cell_angle_gamma 90.00
loop_
_atom_site_label
_atom_site_fract_x
_atom_site_fract_y
_atom_site_fract_z
Be1 0.000 0.000 0.500
Be2 0.500 0.500 0.500
Cd1 0.500 0.000 0.150
Cd2 0.000 0.500 0.850
Pt1 0.500 0.000 0.709
Pt2 0.000 0.500 0.291
```

Output
**Space-group type**: P4/nmm (129)

Run c
This record from Alexandria describes BeCdPt after structural relaxation. The functional is GGA-PBE.

The structure in CIF format:
```
data_BeCdPt
_symmetry_space_group_name_H-M 'P 1'
_symmetry_Int_Tables_number 1
_symmetry_space_group_name_Hall 'P 1'
_cell_length_a 2.929
_cell_length_b 2.929
_cell_length_c 6.308
_cell_angle_alpha 90.00
_cell_angle_beta 90.00
_cell_angle_gamma 120.00
loop_
_atom_site_label
_atom_site_fract_x
_atom_site_fract_y
_atom_site_fract_z
Pt1 0.333 0.667 0.718
Cd1 0.667 0.333 0.322
Be1 0.000 0.000 0.960
```

Output
**Space-group type**: P3m1 (156)

Run d
This record from Alexandria describes BeCdPt after structural relaxation. The functional is GGA-PBE.

The structure in CIF format:
```
data_BeCdPt
_symmetry_space_group_name_H-M 'P 1'
_symmetry_Int_Tables_number 1
_symmetry_space_group_name_Hall 'P 1'
_cell_length_a 3.969
_cell_length_b 3.969
_cell_length_c 3.415
_cell_angle_alpha 90.00
_cell_angle_beta 90.00
_cell_angle_gamma 120.00
loop_
_atom_site_label
_atom_site_fract_x
_atom_site_fract_y
_atom_site_fract_z
Pt1 0.333 0.667 0.833
Be1 0.000 0.000 0.833
Cd1 0.667 0.333 0.334
```

Output
**Space-group type**: P-6m2 (187)

Q: Which of them is the least stable? A: run c.

Run a
This record from Alexandria describes Be2CdPt2 after structural relaxation. The functional is GGA-PBE.

The structure in CIF format:
```
data_Be2CdPt2
_symmetry_space_group_name_H-M 'P 1'
_symmetry_Int_Tables_number 1
_symmetry_space_group_name_Hall 'P 1'
_cell_length_a 3.504
_cell_length_b 3.504
_cell_length_c 6.432
_cell_angle_alpha 74.19
_cell_angle_beta 74.19
_cell_angle_gamma 90.00
loop_
_atom_site_label
_atom_site_fract_x
_atom_site_fract_y
_atom_site_fract_z
Be1 0.250 0.750 0.500
Be2 0.750 0.250 0.500
Cd1 0.000 0.000 0.000
Pt1 0.623 0.623 0.753
Pt2 0.377 0.377 0.247
```

Output
**Space-group type**: I4/mmm (139)

Run b
This record from Alexandria describes Be2CdPt2 after structural relaxation. The functional is GGA-PBE.

The structure in CIF format:
```
data_Be2CdPt2
_symmetry_space_group_name_H-M 'P 1'
_symmetry_Int_Tables_number 1
_symmetry_space_group_name_Hall 'P 1'
_cell_length_a 6.926
_cell_length_b 6.926
_cell_length_c 2.781
_cell_angle_alpha 90.00
_cell_angle_beta 90.00
_cell_angle_gamma 90.00
loop_
_atom_site_label
_atom_site_fract_x
_atom_site_fract_y
_atom_site_fract_z
Pt1 0.340 0.160 0.500
Pt2 0.160 0.660 0.500
Pt3 0.840 0.340 0.500
Pt4 0.660 0.840 0.500
Cd1 0.500 0.500 0.000
Cd2 0.000 0.000 0.000
Be1 0.873 0.627 0.000
Be2 0.373 0.873 0.000
Be3 0.627 0.127 0.000
Be4 0.127 0.373 0.000
```

Output
**Space-group type**: P4/mbm (127)

Q: Which of them is the least stable? A: run a.

Run a
This record from Alexandria describes Be3CdPt after structural relaxation. The functional is GGA-PBE.

The structure in CIF format:
```
data_Be3CdPt
_symmetry_space_group_name_H-M 'P 1'
_symmetry_Int_Tables_number 1
_symmetry_space_group_name_Hall 'P 1'
_cell_length_a 4.317
_cell_length_b 4.317
_cell_length_c 4.317
_cell_angle_alpha 90.00
_cell_angle_beta 90.00
_cell_angle_gamma 90.00
loop_
_atom_site_label
_atom_site_fract_x
_atom_site_fract_y
_atom_site_fract_z
Pt1 0.000 0.000 0.000
Be1 0.000 0.500 0.000
Be2 0.000 0.000 0.500
Be3 0.500 0.000 0.000
Cd1 0.500 0.500 0.500
```

Output
**Space-group type**: Pm-3m (221)

Run b
This record from Alexandria describes Be3CdPt after structural relaxation. The functional is GGA-PBE.

The structure in CIF format:
```
data_Be3CdPt
_symmetry_space_group_name_H-M 'P 1'
_symmetry_Int_Tables_number 1
_symmetry_space_group_name_Hall 'P 1'
_cell_length_a 4.281
_cell_length_b 4.281
_cell_length_c 4.281
_cell_angle_alpha 90.00
_cell_angle_beta 90.00
_cell_angle_gamma 90.00
loop_
_atom_site_label
_atom_site_fract_x
_atom_site_fract_y
_atom_site_fract_z
Cd1 0.000 0.000 0.000
Be1 0.000 0.000 0.500
Be2 0.500 0.000 0.000
Be3 0.000 0.500 0.000
Pt1 0.500 0.500 0.500
```

Output
**Space-group type**: Pm-3m (221)

Q: Which of them is the least stable? A: run b.

Run a
This record from Alexandria describes BeCd3Pt after structural relaxation. The functional is GGA-PBE.

The structure in CIF format:
```
data_BeCd3Pt
_symmetry_space_group_name_H-M 'P 1'
_symmetry_Int_Tables_number 1
_symmetry_space_group_name_Hall 'P 1'
_cell_length_a 5.212
_cell_length_b 5.212
_cell_length_c 5.212
_cell_angle_alpha 90.00
_cell_angle_beta 90.00
_cell_angle_gamma 90.00
loop_
_atom_site_label
_atom_site_fract_x
_atom_site_fract_y
_atom_site_fract_z
Cd1 0.000 0.000 0.500
Cd2 0.000 0.500 0.000
Cd3 0.500 0.000 0.000
Pt1 0.000 0.000 0.000
Be1 0.500 0.500 0.500
```

Output
**Space-group type**: Pm-3m (221)

Run b
This record from Alexandria describes BeCd3Pt after structural relaxation. The functional is GGA-PBE.

The structure in CIF format:
```
data_BeCd3Pt
_symmetry_space_group_name_H-M 'P 1'
_symmetry_Int_Tables_number 1
_symmetry_space_group_name_Hall 'P 1'
_cell_length_a 4.581
_cell_length_b 4.581
_cell_length_c 4.581
_cell_angle_alpha 90.00
_cell_angle_beta 90.00
_cell_angle_gamma 90.00
loop_
_atom_site_label
_atom_site_fract_x
_atom_site_fract_y
_atom_site_fract_z
Cd1 0.000 0.000 0.500
Cd2 0.000 0.500 0.000
Cd3 0.500 0.000 0.000
Be1 0.000 0.000 0.000
Pt1 0.500 0.500 0.500
```

Output
**Space-group type**: Pm-3m (221)

Q: Which of them is the least stable? A: run a.

Run a
This record from Alexandria describes SrBeCdPt2 after structural relaxation. The functional is GGA-PBE.

The structure in CIF format:
```
data_SrBeCdPt2
_symmetry_space_group_name_H-M 'P 1'
_symmetry_Int_Tables_number 1
_symmetry_space_group_name_Hall 'P 1'
_cell_length_a 4.394
_cell_length_b 5.276
_cell_length_c 4.394
_cell_angle_alpha 90.00
_cell_angle_beta 90.00
_cell_angle_gamma 90.00
loop_
_atom_site_label
_atom_site_fract_x
_atom_site_fract_y
_atom_site_fract_z
Cd1 0.500 0.500 0.500
Pt1 0.000 0.000 0.500
Pt2 0.500 0.000 0.000
Sr1 0.000 0.500 0.000
Be1 0.000 0.000 0.000
```

Output
**Space-group type**: P4/mmm (123)

Run b
This record from Alexandria describes SrBeCdPt2 after structural relaxation. The functional is GGA-PBE.

The structure in CIF format:
```
data_SrBeCdPt2
_symmetry_space_group_name_H-M 'P 1'
_symmetry_Int_Tables_number 1
_symmetry_space_group_name_Hall 'P 1'
_cell_length_a 4.548
_cell_length_b 4.548
_cell_length_c 4.677
_cell_angle_alpha 90.00
_cell_angle_beta 90.00
_cell_angle_gamma 90.00
loop_
_atom_site_label
_atom_site_fract_x
_atom_site_fract_y
_atom_site_fract_z
Pt1 0.500 0.000 0.000
Pt2 0.000 0.500 0.000
Cd1 0.000 0.000 0.500
Be1 0.000 0.000 0.000
Sr1 0.500 0.500 0.500
```

Output
**Space-group type**: P4/mmm (123)

Q: Which of them is the least stable? A: run a.

Run a
This record from Alexandria describes Rb2BeCd after structural relaxation. The functional is GGA-PBE.

The structure in CIF format:
```
data_Rb2BeCd
_symmetry_space_group_name_H-M 'P 1'
_symmetry_Int_Tables_number 1
_symmetry_space_group_name_Hall 'P 1'
_cell_length_a 6.193
_cell_length_b 6.193
_cell_length_c 6.193
_cell_angle_alpha 60.00
_cell_angle_beta 60.00
_cell_angle_gamma 60.00
loop_
_atom_site_label
_atom_site_fract_x
_atom_site_fract_y
_atom_site_fract_z
Be1 0.000 0.000 0.000
Rb1 0.250 0.250 0.250
Rb2 0.750 0.750 0.750
Cd1 0.500 0.500 0.500
```

Output
**Space-group type**: Fm-3m (225)

Run b
This record from Alexandria describes Rb2BeCd after structural relaxation. The functional is GGA-PBE.

The structure in CIF format:
```
data_Rb2BeCd
_symmetry_space_group_name_H-M 'P 1'
_symmetry_Int_Tables_number 1
_symmetry_space_group_name_Hall 'P 1'
_cell_length_a 13.107
_cell_length_b 13.107
_cell_length_c 9.570
_cell_angle_alpha 46.78
_cell_angle_beta 46.78
_cell_angle_gamma 90.00
loop_
_atom_site_label
_atom_site_fract_x
_atom_site_fract_y
_atom_site_fract_z
Cd1 0.000 0.000 0.000
Cd2 0.750 0.250 0.500
Rb1 0.875 0.694 0.750
Rb2 0.444 0.125 0.250
Rb3 0.375 0.556 0.750
Rb4 0.306 0.625 0.250
Be1 0.250 0.750 0.500
Be2 0.500 0.500 0.000
```

Output
**Space-group type**: I-42d (122)

Q: Which of them is the least stable? A: run a.